Entry 1:
{
  "formula": "Pm4In3Ir",
  "functional": "PBE",
  "state": "optimized geometry",
  "cell": [[3.6424, 0.0000, 0.0000], [0.0000, 3.6424, 0.0000], [0.0000, 0.0000, 16.1977]],
  "species": ["Pm", "Pm", "Pm", "Pm", "In", "In", "In", "Ir"],
  "fractional_positions": [[0.0000, 0.0000, 0.1022], [0.0000, 0.0000, 0.3678], [0.0000, 0.0000, 0.6322], [0.0000, 0.0000, 0.8978], [0.5000, 0.5000, 0.2390], [0.5000, 0.5000, 0.5000], [0.5000, 0.5000, 0.7610], [0.5000, 0.5000, 0.0000]],
  "crystal_system": "tetragonal",
  "e_tot_ev_per_cell": -40.309,
  "space_group": "P4/mmm, No. 123",
  "formation_enthalpy_0k_ev_per_fu": -4.2
}

=====

Entry 2:
{
  "formula": "LaTb14Dy",
  "functional": "PBE",
  "state": "optimized geometry",
  "cell": [[11.5598, 0.0000, 0.0000], [0.0000, 3.5892, 6.2102], [0.0000, -3.5892, 6.2102]],
  "species": ["La", "Tb", "Tb", "Tb", "Tb", "Tb", "Tb", "Tb", "Tb", "Tb", "Tb", "Tb", "Tb", "Tb", "Tb", "Dy"],
  "fractional_positions": [[0.0000, 0.0000, 0.0000], [0.0000, 0.0001, 0.4996], [0.0000, 0.4996, 0.0001], [0.2494, 0.6666, 0.6666], [0.2523, 0.1670, 0.6660], [0.2523, 0.6660, 0.1670], [0.2526, 0.1670, 0.1670], [0.5000, 0.3337, 0.3337], [0.5000, 0.3348, 0.8331], [0.5000, 0.8331, 0.3348], [0.5000, 0.8333, 0.8333], [0.7474, 0.1670, 0.1670], [0.7477, 0.1670, 0.6660], [0.7477, 0.6660, 0.1670], [0.7506, 0.6666, 0.6666], [0.0000, 0.4995, 0.4995]],
  "crystal_system": "orthorhombic",
  "e_tot_ev_per_cell": -74.286,
  "space_group": "Amm2, No. 38",
  "formation_enthalpy_0k_ev_per_fu": 0.1
}

=====

Entry 3:
{
  "formula": "SrFeBr4",
  "functional": "PBE",
  "state": "optimized geometry",
  "cell": [[-4.9619, 4.9619, 4.3080], [4.9619, -4.9619, 4.3080], [4.9619, 4.9619, -4.3080]],
  "species": ["Sr", "Sr", "Fe", "Fe", "Br", "Br", "Br", "Br", "Br", "Br", "Br", "Br"],
  "fractional_positions": [[0.3750, 0.6250, 0.7500], [0.6250, 0.3750, 0.2500], [0.1250, 0.8750, 0.2500], [0.8750, 0.1250, 0.7500], [0.1236, 0.6891, 0.4346], [0.2455, 0.3109, 0.9346], [0.3109, 0.2455, 0.4346], [0.3109, 0.8764, 0.0654], [0.6891, 0.1236, 0.9346], [0.6891, 0.7545, 0.5654], [0.7545, 0.6891, 0.0654], [0.8764, 0.3109, 0.5654]],
  "crystal_system": "tetragonal",
  "e_tot_ev_per_cell": -48.334,
  "space_group": "I4_1/amd, No. 141"
}

=====

Entry 4:
{
  "formula": "UIn2PbO8",
  "functional": "PBE",
  "state": "optimized geometry",
  "cell": [[3.4578, -3.5745, 0.0000], [3.4578, 3.5745, 0.0000], [0.0000, 0.0000, 6.8591]],
  "species": ["U", "In", "In", "Pb", "O", "O", "O", "O", "O", "O", "O", "O"],
  "fractional_positions": [[0.0000, 0.0000, 0.0000], [0.5000, 0.5000, 0.2519], [0.5000, 0.5000, 0.7481], [0.0000, 0.0000, 0.5000], [0.1929, 0.8071, 0.2344], [0.1929, 0.8071, 0.7656], [0.2996, 0.2996, 0.0000], [0.3044, 0.3044, 0.5000], [0.6956, 0.6956, 0.5000], [0.7004, 0.7004, 0.0000], [0.8071, 0.1929, 0.2344], [0.8071, 0.1929, 0.7656]],
  "crystal_system": "orthorhombic",
  "e_tot_ev_per_cell": -82.429,
  "space_group": "Cmmm, No. 65"
}

=====

Entry 5:
{
  "formula": "TaAs2P",
  "functional": "PBE",
  "state": "optimized geometry",
  "cell": [[6.4654, 0.0000, 0.0000], [0.0000, 6.4654, 0.0000], [0.0000, 0.0000, 6.4654]],
  "species": ["Ta", "Ta", "Ta", "Ta", "As", "As", "As", "As", "As", "As", "As", "As", "P", "P", "P", "P"],
  "fractional_positions": [[0.0000, 0.0000, 0.0000], [0.0000, 0.5000, 0.5000], [0.5000, 0.0000, 0.5000], [0.5000, 0.5000, 0.0000], [0.0000, 0.0000, 0.5000], [0.0000, 0.5000, 0.0000], [0.2500, 0.2500, 0.2500], [0.2500, 0.7500, 0.7500], [0.5000, 0.0000, 0.0000], [0.5000, 0.5000, 0.5000], [0.7500, 0.2500, 0.7500], [0.7500, 0.7500, 0.2500], [0.2500, 0.2500, 0.7500], [0.2500, 0.7500, 0.2500], [0.7500, 0.2500, 0.2500], [0.7500, 0.7500, 0.7500]],
  "crystal_system": "cubic",
  "e_tot_ev_per_cell": -101.003,
  "space_group": "F-43m, No. 216",
  "formation_enthalpy_0k_ev_per_fu": 1.3
}

=====

Entry 6:
{
  "formula": "LiAlVTc",
  "functional": "PBE",
  "state": "optimized geometry",
  "cell": [[6.0297, 0.0000, 0.0000], [0.0000, 6.0297, 0.0000], [0.0000, 0.0000, 6.0297]],
  "species": ["Li", "Li", "Li", "Li", "Al", "Al", "Al", "Al", "V", "V", "V", "V", "Tc", "Tc", "Tc", "Tc"],
  "fractional_positions": [[0.0000, 0.0000, 0.0000], [0.0000, 0.5000, 0.5000], [0.5000, 0.0000, 0.5000], [0.5000, 0.5000, 0.0000], [0.2500, 0.2500, 0.7500], [0.2500, 0.7500, 0.2500], [0.7500, 0.2500, 0.2500], [0.7500, 0.7500, 0.7500], [0.2500, 0.2500, 0.2500], [0.2500, 0.7500, 0.7500], [0.7500, 0.2500, 0.7500], [0.7500, 0.7500, 0.2500], [0.0000, 0.0000, 0.5000], [0.0000, 0.5000, 0.0000], [0.5000, 0.0000, 0.0000], [0.5000, 0.5000, 0.5000]],
  "crystal_system": "cubic",
  "e_tot_ev_per_cell": -102.903,
  "space_group": "F-43m, No. 216",
  "formation_enthalpy_0k_ev_per_fu": -0.6
}